Compound: HfCoSb2I
Source: the Alexandria database
Functional: PBE
Structure: optimized geometry

Calculated values
Energy above the lowest structure with this stoichiometry = 0.246 eV per atom
Formation energy without anion corrections = 0.84 eV per atom
N(E_F) = 6.853 states/eV/cell
E_tot = -4.5278 eV/atom

a b c (Å): 5.5554 5.5554 5.5926
angles (deg): 90.00 90.00 90.00
Closest atoms and distances in Å follow each position.
Positions (direct):
Sb (0.0000, 0.5000, 0.0000)  2 Hf 2.78
I (0.0000, 0.0000, 0.5000)  2 Hf 2.80
Co (0.5000, 0.5000, 0.5000)  4 I 3.93, 8 Sb 3.94
Hf (0.0000, 0.0000, 0.0000)  4 Sb 2.78, 2 I 2.80
Sb (0.5000, 0.0000, 0.0000)  2 Hf 2.78